[1]
AlWBr2: optimized geometry, PBE.

a = 3.135 Å, b = 4.490 Å, c = 5.890 Å
α = 90.00°, β = 100.00°, γ = 90.00°
Fractional positions:
Al (0.000, 0.000, 0.000)
W (0.000, 0.000, 0.500)
Br (0.216, 0.500, 0.741)
Br (0.784, 0.500, 0.259)

VASP energy = -4.33 eV per atom
total magnetization = 0.00 μB/atom
space-group type = P2/m (10)
E above lowest polymorph = 713 meV per atom
uncorrected formation energy = 684.4 meV/atom
volume = 20.41 Å³/atom
D(E_F) = 0.519 states/eV per atom

***

[2]
AlW2Br: optimized geometry, PBE.

a = 2.838 Å, b = 2.838 Å, c = 8.394 Å
α = 90.00°, β = 90.00°, γ = 90.00°
Fractional positions:
Al (0.000, 0.000, 0.000)
W (0.500, 0.500, 0.234)
W (0.500, 0.500, 0.766)
Br (0.000, 0.000, 0.500)

VASP energy = -6.93 eV per atom
total magnetization = 0.00 μB/atom
space-group type = P4/mmm (123)
E above lowest polymorph = 526 meV per atom
uncorrected formation energy = 904.2 meV/atom
volume = 16.90 Å³/atom
D(E_F) = 0.502 states/eV per atom

***

[3]
Al2WBr: optimized geometry, PBE.

a = 3.054 Å, b = 3.054 Å, c = 8.164 Å
α = 90.00°, β = 90.00°, γ = 90.00°
Fractional positions:
Al (0.000, 0.000, 0.000)
Al (0.500, 0.500, 0.219)
W (0.500, 0.500, 0.797)
Br (0.000, 0.000, 0.583)

VASP energy = -5.08 eV per atom
total magnetization = 0.00 μB/atom
space-group type = P4mm (99)
E above lowest polymorph = 366 meV per atom
uncorrected formation energy = 449.5 meV/atom
volume = 19.04 Å³/atom
D(E_F) = 0.898 states/eV per atom

***

[4]
AlW2Br: optimized geometry, PBE.

a = 9.151 Å, b = 9.151 Å, c = 9.151 Å
α = 18.43°, β = 18.43°, γ = 18.43°
Fractional positions:
Al (0.000, 0.000, 0.000)
W (0.251, 0.251, 0.251)
W (0.749, 0.749, 0.749)
Br (0.500, 0.500, 0.500)

VASP energy = -7.16 eV per atom
total magnetization = 0.00 μB/atom
space-group type = R-3m (166)
E above lowest polymorph = 294 meV per atom
uncorrected formation energy = 671.9 meV/atom
volume = 16.73 Å³/atom
D(E_F) = 0.728 states/eV per atom

***

[5]
AlW2Br: optimized geometry, PBE.

a = 5.140 Å, b = 5.140 Å, c = 2.840 Å
α = 90.00°, β = 90.00°, γ = 115.07°
Fractional positions:
Al (0.000, 0.000, 0.000)
W (0.000, 0.500, 0.500)
W (0.500, 0.000, 0.500)
Br (0.500, 0.500, 0.000)

VASP energy = -6.74 eV per atom
total magnetization = 0.00 μB/atom
space-group type = Cmmm (65)
E above lowest polymorph = 717 meV per atom
uncorrected formation energy = 1094.3 meV/atom
volume = 16.99 Å³/atom
D(E_F) = 0.443 states/eV per atom

***

[6]
AlWBr2: optimized geometry, PBE.

a = 6.565 Å, b = 6.565 Å, c = 6.565 Å
α = 152.51°, β = 103.50°, γ = 83.08°
Fractional positions:
Al (0.000, 0.000, 0.000)
W (0.785, 0.285, 0.500)
Br (0.201, 0.701, 0.500)
Br (0.585, 0.585, 0.000)

VASP energy = -4.49 eV per atom
total magnetization = 0.34 μB/atom
space-group type = Imm2 (44)
E above lowest polymorph = 548 meV per atom
uncorrected formation energy = 518.8 meV/atom
volume = 31.15 Å³/atom
D(E_F) = 0.733 states/eV per atom

***

[7]
AlWBr2: optimized geometry, PBE.

a = 3.322 Å, b = 3.322 Å, c = 9.883 Å
α = 90.00°, β = 90.00°, γ = 124.89°
Fractional positions:
Al (0.000, 0.000, 0.000)
W (0.000, 0.000, 0.500)
Br (0.500, 0.500, 0.287)
Br (0.500, 0.500, 0.713)

VASP energy = -4.41 eV per atom
total magnetization = 0.24 μB/atom
space-group type = Cmmm (65)
E above lowest polymorph = 629 meV per atom
uncorrected formation energy = 599.7 meV/atom
volume = 22.37 Å³/atom
D(E_F) = 0.554 states/eV per atom

***

[8]
AlW2Br: optimized geometry, PBE.

a = 5.657 Å, b = 5.657 Å, c = 3.196 Å
α = 105.97°, β = 105.97°, γ = 122.68°
Fractional positions:
Al (0.000, 0.000, 0.000)
W (0.000, 0.500, 0.500)
W (0.500, 0.000, 0.500)
Br (0.500, 0.500, 0.000)

VASP energy = -6.91 eV per atom
total magnetization = 0.00 μB/atom
space-group type = C2/m (12)
E above lowest polymorph = 545 meV per atom
uncorrected formation energy = 923.1 meV/atom
volume = 17.64 Å³/atom
D(E_F) = 1.115 states/eV per atom

***

[9]
Al2WBr2: optimized geometry, PBE.

a = 6.950 Å, b = 6.950 Å, c = 5.096 Å
α = 90.00°, β = 90.00°, γ = 90.00°
Fractional positions:
Al (0.139, 0.361, 0.000)
Al (0.361, 0.861, 0.000)
Al (0.639, 0.139, 0.000)
Al (0.861, 0.639, 0.000)
W (0.000, 0.000, 0.000)
W (0.500, 0.500, 0.000)
Br (0.201, 0.299, 0.500)
Br (0.299, 0.799, 0.500)
Br (0.701, 0.201, 0.500)
Br (0.799, 0.701, 0.500)

VASP energy = -3.98 eV per atom
total magnetization = 0.59 μB/atom
space-group type = P4/mbm (127)
E above lowest polymorph = 0 meV per atom
uncorrected formation energy = 780.4 meV/atom
volume = 24.62 Å³/atom
D(E_F) = 1.459 states/eV per atom

***

[10]
AlWBr2: optimized geometry, PBE.

a = 4.976 Å, b = 4.976 Å, c = 8.050 Å
α = 110.02°, β = 110.02°, γ = 36.69°
Fractional positions:
Al (0.000, 0.000, 0.000)
W (0.254, 0.254, 0.928)
Br (0.651, 0.651, 0.657)
Br (0.784, 0.784, 0.213)

VASP energy = -4.77 eV per atom
total magnetization = 0.16 μB/atom
space-group type = Cm (8)
E above lowest polymorph = 269 meV per atom
uncorrected formation energy = 240.3 meV/atom
volume = 27.77 Å³/atom
D(E_F) = 0.485 states/eV per atom

***

[11]
Al2WBr: optimized geometry, PBE.

a = 2.998 Å, b = 3.326 Å, c = 7.730 Å
α = 90.00°, β = 90.00°, γ = 90.00°
Fractional positions:
Al (0.000, 0.000, 0.198)
Al (0.000, 0.000, 0.802)
W (0.500, 0.500, 0.000)
Br (0.500, 0.000, 0.500)

VASP energy = -5.44 eV per atom
total magnetization = 0.00 μB/atom
space-group type = Pmmm (47)
E above lowest polymorph = 0 meV per atom
uncorrected formation energy = 83.2 meV/atom
volume = 19.27 Å³/atom
D(E_F) = 0.605 states/eV per atom

***

[12]
Al2WBr: optimized geometry, PBE.

a = 5.112 Å, b = 5.112 Å, c = 5.112 Å
α = 133.58°, β = 133.58°, γ = 67.74°
Fractional positions:
Al (0.250, 0.750, 0.500)
Al (0.750, 0.250, 0.500)
W (0.000, 0.000, 0.000)
Br (0.500, 0.500, 0.000)

VASP energy = -4.80 eV per atom
total magnetization = 0.17 μB/atom
space-group type = I4/mmm (139)
E above lowest polymorph = 643 meV per atom
uncorrected formation energy = 725.8 meV/atom
volume = 17.23 Å³/atom
D(E_F) = 0.684 states/eV per atom

***

[13]
AlWBr2: optimized geometry, PBE.

a = 4.851 Å, b = 3.093 Å, c = 5.373 Å
α = 90.00°, β = 109.92°, γ = 90.00°
Fractional positions:
Al (0.000, 0.000, 0.000)
W (0.000, 0.500, 0.500)
Br (0.500, 0.000, 0.500)
Br (0.500, 0.500, 0.000)

VASP energy = -4.21 eV per atom
total magnetization = 0.00 μB/atom
space-group type = P2/m (10)
E above lowest polymorph = 826 meV per atom
uncorrected formation energy = 797.4 meV/atom
volume = 18.95 Å³/atom
D(E_F) = 0.568 states/eV per atom

***

[14]
Al2WBr: optimized geometry, PBE.

a = 5.947 Å, b = 5.947 Å, c = 5.947 Å
α = 103.61°, β = 103.61°, γ = 121.96°
Fractional positions:
Al (0.110, 0.625, 0.985)
Al (0.375, 0.360, 0.485)
Al (0.640, 0.125, 0.015)
Al (0.875, 0.890, 0.515)
W (0.000, 0.000, 0.000)
W (0.750, 0.250, 0.500)
Br (0.250, 0.750, 0.500)
Br (0.500, 0.500, 0.000)

VASP energy = -4.62 eV per atom
total magnetization = 0.26 μB/atom
space-group type = I-42d (122)
E above lowest polymorph = 821 meV per atom
uncorrected formation energy = 903.9 meV/atom
volume = 19.50 Å³/atom
D(E_F) = 0.722 states/eV per atom

***

[15]
AlW2Br: optimized geometry, PBE.

a = 4.944 Å, b = 4.944 Å, c = 5.103 Å
α = 102.53°, β = 102.53°, γ = 33.68°
Fractional positions:
Al (0.000, 0.000, 0.000)
W (0.262, 0.262, 0.761)
W (0.738, 0.738, 0.239)
Br (0.500, 0.500, 0.500)

VASP energy = -7.08 eV per atom
total magnetization = 0.00 μB/atom
space-group type = C2/m (12)
E above lowest polymorph = 377 meV per atom
uncorrected formation energy = 754.4 meV/atom
volume = 16.84 Å³/atom
D(E_F) = 0.658 states/eV per atom

***

[16]
AlW2Br: optimized geometry, PBE.

a = 4.499 Å, b = 4.499 Å, c = 4.499 Å
α = 60.00°, β = 60.00°, γ = 60.00°
Fractional positions:
Al (0.000, 0.000, 0.000)
W (0.250, 0.250, 0.250)
W (0.750, 0.750, 0.750)
Br (0.500, 0.500, 0.500)

VASP energy = -6.75 eV per atom
total magnetization = 0.00 μB/atom
space-group type = Fm-3m (225)
E above lowest polymorph = 703 meV per atom
uncorrected formation energy = 1081.2 meV/atom
volume = 16.09 Å³/atom
D(E_F) = 0.891 states/eV per atom

***

[17]
AlWBr2: optimized geometry, PBE.

a = 4.559 Å, b = 4.559 Å, c = 4.141 Å
α = 90.00°, β = 90.00°, γ = 90.00°
Fractional positions:
Al (0.000, 0.000, 0.000)
W (0.500, 0.500, 0.000)
Br (0.000, 0.500, 0.500)
Br (0.500, 0.000, 0.500)

VASP energy = -3.83 eV per atom
total magnetization = 0.82 μB/atom
space-group type = P4/mmm (123)
E above lowest polymorph = 1211 meV per atom
uncorrected formation energy = 1182.3 meV/atom
volume = 21.52 Å³/atom
D(E_F) = 0.689 states/eV per atom

***

[18]
AlWBr: optimized geometry, PBE.

a = 5.201 Å, b = 5.201 Å, c = 5.201 Å
α = 147.58°, β = 134.75°, γ = 56.76°
Fractional positions:
Al (0.000, 0.000, 0.000)
W (0.334, 0.334, 0.000)
Br (0.698, 0.698, 0.000)

VASP energy = -5.31 eV per atom
total magnetization = 0.00 μB/atom
space-group type = Imm2 (44)
E above lowest polymorph = 330 meV per atom
uncorrected formation energy = 812.8 meV/atom
volume = 17.72 Å³/atom
D(E_F) = 0.260 states/eV per atom

***

[19]
AlW2Br: optimized geometry, PBE.

a = 3.297 Å, b = 4.626 Å, c = 5.602 Å
α = 90.00°, β = 102.48°, γ = 90.00°
Fractional positions:
Al (0.000, 0.000, 0.000)
W (0.321, 0.500, 0.165)
W (0.679, 0.500, 0.835)
Br (0.500, 0.000, 0.500)

VASP energy = -7.09 eV per atom
total magnetization = 0.00 μB/atom
space-group type = P2/m (10)
E above lowest polymorph = 359 meV per atom
uncorrected formation energy = 736.5 meV/atom
volume = 20.86 Å³/atom
D(E_F) = 0.441 states/eV per atom

***

[20]
AlW2Br: optimized geometry, PBE.

a = 2.900 Å, b = 2.900 Å, c = 9.285 Å
α = 90.00°, β = 90.00°, γ = 118.43°
Fractional positions:
Al (0.000, 0.000, 0.000)
W (0.500, 0.500, 0.241)
W (0.500, 0.500, 0.759)
Br (0.000, 0.000, 0.500)

VASP energy = -7.01 eV per atom
total magnetization = 0.00 μB/atom
space-group type = Cmmm (65)
E above lowest polymorph = 447 meV per atom
uncorrected formation energy = 825.0 meV/atom
volume = 17.17 Å³/atom
D(E_F) = 1.184 states/eV per atom